! CaLa2Si, optimized geometry, DFT PBE; values from VASP
! - formation energy from raw total energies (meV per atom) = 17.6
! - crystal system = monoclinic
! - SG = C2/m (12)
! - D(E_F) (states/eV/atom) = 0.868
! - electronic total energy (eV per atom) = -4.3023
&SYSTEM
  ibrav = 0, nat = 4, ntyp = 3
/
ATOMIC_SPECIES
Ca 40.08 Ca.upf
La 138.91 La.upf
Si 28.09 Si.upf
ATOMIC_POSITIONS crystal
Ca 0.500 0.500 0.000
La 0.000 0.000 0.000
La 0.500 0.000 0.500
Si 0.000 0.500 0.500
CELL_PARAMETERS angstrom
-4.960 -1.846 2.748
3.256 -4.577 -3.162
1.578 -1.802 2.653